1.
Below is crystalline Sr2InTeO6 at its relaxed geometry, with properties calculated at the PBE level.

a = 5.8516 Å, b = 5.9298 Å, c = 10.1569 Å
α = 90.00°, β = 125.13°, γ = 90.00°
Last column: nearest neighbours and their distance in Å.
Space group P2_1/c (No. 14)
Symmetry-distinct sites (fractional):
Sr 0.2411 0.0382 0.2503  6 O 2.54-2.79
In 0.5000 0.0000 0.0000  6 O 2.20-2.21
Te 0.0000 0.0000 0.5000  6 O 2.06
O 0.1582 0.2222 0.9556  1 Te 2.06, 1 In 2.21
O 0.2368 0.7053 0.9590  1 Te 2.06, 1 In 2.20
O 0.3215 0.0248 0.7406  1 Te 2.06, 1 In 2.21

Values from the calculation:
D(E_F) (states/eV per cell): 3.4
Formation energy without anion corrections (eV per formula unit): -19.69

2.
Below is crystalline Na3TmZr2S6 at its relaxed geometry, with properties calculated at the PBE level.

a = 6.5166 Å, b = 11.2887 Å, c = 7.1251 Å
α = 90.00°, β = 107.77°, γ = 90.00°
Last column: nearest neighbours and their distance in Å.
Space group C2/m (No. 12)
Symmetry-distinct sites (fractional):
Na 0.0000 0.0000 0.0000  6 S 2.83-2.88
Na 0.0000 0.3350 0.0000  6 S 2.84-2.88
Tm 0.0000 0.5000 0.5000  6 S 2.70
Zr 0.0000 0.1668 0.5000  6 S 2.64
S 0.2343 0.0000 0.7254  2 Zr 2.64, 1 Tm 2.70, 3 Na 2.83-2.87
S 0.2457 0.3295 0.7254  2 Zr 2.64, 1 Tm 2.70, 3 Na 2.84-2.88

Values from the calculation:
D(E_F) (states/eV per cell): 10.0
Formation energy without anion corrections (eV per formula unit): -19.01

3.
Below is crystalline LaZrFe2 at its relaxed geometry, with properties calculated at the PBE level.

a = 3.8966 Å, b = 3.8966 Å, c = 19.8484 Å
α = 90.00°, β = 90.00°, γ = 120.00°
Last column: nearest neighbours and their distance in Å.
Space group R3m (No. 160, hexagonal axes)
Symmetry-distinct sites (fractional):
La 0.0000 0.0000 0.0000  6 Fe 3.05-3.16
Zr 0.0000 0.0000 0.8151  6 Fe 2.68-2.77
Fe 0.0000 0.0000 0.2218  3 Fe 2.26
Fe 0.0000 0.0000 0.5630  3 Fe 2.26

Values from the calculation:
D(E_F) (states/eV per cell): 13.5
Formation enthalpy at 0 K (eV per atom): 0.069

4.
Below is crystalline TiCd2SeF at its relaxed geometry, with properties calculated at the PBE level.

a = 5.1055 Å, b = 5.1055 Å, c = 4.1046 Å
α = 90.00°, β = 90.00°, γ = 90.00°
Last column: nearest neighbours and their distance in Å.
Space group P4/mmm (No. 123)
Symmetry-distinct sites (fractional):
Ti 0.0000 0.0000 0.0000  2 F 2.05
Cd 0.0000 0.5000 0.5000  2 F 2.55
Se 0.5000 0.5000 0.0000  8 Cd 3.28, 4 Ti 3.61
F 0.0000 0.0000 0.5000  2 Ti 2.05

Values from the calculation:
D(E_F) (states/eV per cell): 4.0
Formation energy without anion corrections (eV per formula unit): -1.85

5.
Below is crystalline Mg2TaTc at its relaxed geometry, with properties calculated at the PBE level.

a = 3.4774 Å, b = 4.1949 Å, c = 4.7450 Å
α = 90.00°, β = 90.00°, γ = 90.00°
Last column: nearest neighbours and their distance in Å.
Space group Pmmm (No. 47)
Symmetry-distinct sites (fractional):
Mg 0.0000 0.0000 0.0000  4 Mg 2.72, 4 Tc 2.94
Mg 0.5000 0.5000 0.0000  4 Mg 2.72, 4 Ta 2.94
Ta 0.0000 0.5000 0.5000  4 Tc 2.72, 4 Mg 2.94
Tc 0.5000 0.0000 0.5000  4 Ta 2.72, 4 Mg 2.94

Values from the calculation:
D(E_F) (states/eV per cell): 2.6
E above lowest polymorph (eV/atom): 0.1422
Formation enthalpy at 0 K (eV per atom): 0.145

6.
Below is crystalline LaPrTe2 at its relaxed geometry, with properties calculated at the PBE level.

a = 4.5700 Å, b = 4.5700 Å, c = 22.2020 Å
α = 90.00°, β = 90.00°, γ = 120.00°
Last column: nearest neighbours and their distance in Å.
Space group R-3m (No. 166, hexagonal axes)
Symmetry-distinct sites (fractional):
La 0.0000 0.0000 0.0000  6 Te 3.23
Pr 0.0000 0.0000 0.5000  6 Te 3.21
Te 0.0000 0.0000 0.2493  3 Pr 3.21, 3 La 3.23

Values from the calculation:
D(E_F) (states/eV per cell): 7.5
E above lowest polymorph (eV/atom): 0.0000
Formation energy without anion corrections (eV per formula unit): -6.09

no.,E (eV per cell),volume (Å³ per cell),theoretical density (Mg/m³)
1,-117.37,288,5.9
2,-138.60,499,4.1
3,-90.38,261,6.5
4,-16.93,107,5.8
5,-24.83,69,7.9
6,-66.25,402,6.6